A relaxed structure of TaSnPd, computed with PBE.

Geometry as POSCAR:
```
TaSnPd
1.0
3.049 0.000 0.000
0.000 3.049 0.000
-1.525 -1.525 5.916
Sn Pd Ta
1 1 1
Cartesian
1.525 1.525 1.913
1.525 1.525 5.854
0.000 0.000 4.066
```

Values from the calculation:
- Space group: I4mm
- Crystal system: tetragonal
- Calculated formation energy: -0.35 eV per formula unit


A relaxed structure of ScCoHg2, computed with PBE.

Geometry as POSCAR:
```
ScCoHg2
1.0
-2.111 -0.916 -3.328
3.410 0.051 -2.177
1.965 -10.134 -0.918
Sc Co Hg
2 2 4
Cartesian
0.649 -0.432 -2.753
3.012 -5.258 -2.924
0.000 0.000 0.000
0.252 -5.741 -3.499
-0.435 -3.114 -2.634
2.392 -2.601 -1.953
1.907 -7.925 -2.718
2.665 -8.356 -5.540
```

Values from the calculation:
- Space group: I-42d
- Crystal system: tetragonal
- Calculated formation energy: 1.04 eV per formula unit


A relaxed structure of Rb2La2PaS6, computed with PBE.

Geometry as POSCAR:
```
Rb2La2PaS6
1.0
7.304 0.007 0.074
-3.603 6.353 0.074
-1.312 -2.256 7.776
Rb La Pa S
2 2 1 6
Cartesian
5.461 1.079 0.074
-1.761 5.281 0.074
-0.612 3.103 3.962
2.999 1.002 3.962
-0.656 -1.128 3.888
1.875 3.223 5.467
-1.835 0.863 5.382
0.513 0.881 2.457
1.657 -1.168 5.382
4.222 3.242 2.542
0.731 5.273 2.542
```

Values from the calculation:
- ΔE_f (raw): -20.1 eV/f.u.
- Space group: C2/m
- Crystal system: monoclinic


A relaxed structure of MoP2Au, computed with PBE.

Geometry as POSCAR:
```
MoP2Au
1.0
-2.641 -0.743 -1.594
1.441 -2.563 -1.193
-1.932 -3.291 4.736
Au Mo P
1 1 2
Cartesian
-1.083 -2.476 -0.210
-2.049 -4.122 2.158
-1.859 -3.167 4.557
-1.039 -1.770 2.547
```

Values from the calculation:
- E above lowest polymorph: 0.000 eV per atom
- Space group: P4/mmm
- Crystal system: tetragonal
- Calculated formation energy: -0.13 eV per formula unit


A relaxed structure of KFe2Cu, computed with PBE.

Geometry as POSCAR:
```
KFe2Cu
1.0
2.714 -3.115 -2.006
2.546 -2.825 2.574
-1.056 -4.463 0.244
K Fe Cu
1 2 1
Cartesian
0.000 0.000 0.000
1.051 -2.601 0.203
3.153 -7.802 0.609
2.102 -5.201 0.406
```

Values from the calculation:
- E above lowest polymorph: 0.711 eV per atom
- Space group: Fm-3m
- Crystal system: cubic
- Calculated formation energy: 5.22 eV per formula unit


A relaxed structure of PuZnFeRu, computed with PBE.

Geometry as POSCAR:
```
PuZnFeRu
1.0
-3.815 -0.405 2.291
-0.179 -2.655 3.589
-0.354 1.782 4.082
Ru Zn Fe Pu
1 1 1 1
Cartesian
-3.262 -0.958 7.472
-2.174 -0.639 4.981
-1.087 -0.319 2.491
0.000 0.000 0.000
```

Values from the calculation:
- Space group: F-43m
- Crystal system: cubic
- Calculated formation energy: -0.35 eV per formula unit


A relaxed structure of CeSiTe, computed with PBE.

Geometry as POSCAR:
```
CeSiTe
1.0
4.037 0.000 0.000
0.000 4.099 0.000
0.000 2.049 9.051
Si Te Ce
2 2 2
Cartesian
3.028 2.049 0.569
1.009 4.099 8.481
3.028 2.049 3.330
1.009 4.099 5.721
3.028 2.049 7.286
1.009 4.099 1.765
```

Values from the calculation:
- ΔE_f (raw): -2.6 eV/f.u.
- Space group: Cmcm
- Crystal system: orthorhombic


A relaxed structure of Ca5W, computed with PBE.

Geometry as POSCAR:
```
Ca5W
1.0
-1.114 2.572 -1.992
-0.337 -2.186 -2.634
-15.795 -3.212 4.687
Ca W
5 1
Cartesian
-13.871 -2.821 4.116
-1.925 -0.391 0.571
-11.524 -2.003 0.891
-5.723 -0.823 -0.830
-7.898 -1.606 2.343
-0.726 0.193 -2.313
```

Values from the calculation:
- E above lowest polymorph: 0.017 eV per atom
- Space group: P4/mmm
- Crystal system: tetragonal
- Calculated formation energy: 3.33 eV per formula unit


A relaxed structure of Tm4Si2N, computed with PBE.

Geometry as POSCAR:
```
Tm4Si2N
1.0
-3.497 -0.199 -0.931
-0.074 -5.447 1.445
-0.055 3.243 6.566
Tm Si N
4 2 1
Cartesian
-3.059 1.286 4.160
-0.567 -3.689 2.920
-2.022 -1.142 0.783
-1.605 -1.261 6.297
-2.754 -1.919 3.699
-0.873 -0.484 3.381
0.000 0.000 0.000
```

Values from the calculation:
- E above lowest polymorph: 0.023 eV per atom
- ΔE_f (raw): -6.3 eV/f.u.
- Space group: C2/m
- Crystal system: monoclinic


A relaxed structure of Pm2CoSe, computed with PBE.

Geometry as POSCAR:
```
Pm2CoSe
1.0
3.985 0.000 0.000
1.992 3.451 0.000
1.992 1.150 7.193
Co Se Pm
1 1 2
Cartesian
0.000 0.000 0.000
3.985 2.301 3.597
1.992 1.150 1.626
5.977 3.451 5.567
```

Values from the calculation:
- E above lowest polymorph: 0.123 eV per atom
- ΔE_f (raw): -3.3 eV/f.u.
- Space group: R-3m
- Crystal system: trigonal


A relaxed structure of TaTcAsBr2, computed with PBE.

Geometry as POSCAR:
```
TaTcAsBr2
1.0
-1.027 0.454 -4.955
2.803 -4.128 -0.960
-4.164 -2.965 0.592
As Tc Br Ta
1 1 2 1
Cartesian
-2.082 -1.483 0.296
-1.194 -3.319 -2.662
1.402 -2.064 -0.480
-0.514 0.227 -2.478
0.000 0.000 0.000
```

Values from the calculation:
- E above lowest polymorph: 0.000 eV per atom
- ΔE_f (raw): 4.6 eV/f.u.
- Space group: P4/mmm
- Crystal system: tetragonal


A relaxed structure of InAg4Se, computed with PBE.

Geometry as POSCAR:
```
InAg4Se
1.0
-5.435 -1.404 -0.040
-3.741 3.331 -2.534
-2.439 -1.646 -4.781
In Ag Se
1 4 1
Cartesian
-8.712 0.211 -5.516
-6.226 1.768 -4.025
-7.071 -0.595 -2.780
-5.576 -0.715 -5.146
-4.359 0.106 -2.760
0.000 0.000 0.000
```

Values from the calculation:
- ΔE_f (raw): 0.6 eV/f.u.
- Space group: F-43m
- Crystal system: cubic


The calculation returns the following density of states at the Fermi level values, one per record and in order: 2.253; 5.998; 1.387; 1.601; 6.666; 4.905; 7.142; 8.686; 3.550; 2.226; 5.079; 3.045 states/eV/cell.
The calculation returns the following total energy values, one per record and in order: -21.40; -26.00; -66.17; -25.06; -16.90; -33.69; -34.26; -19.63; -43.32; -23.37; -25.61; -17.01 eV for the cell shown.